Entry 1:
# SrPrGaCuO5

A crystal of SrPrGaCuO5 relaxed with PBEsol (meta-GGA SCAN, the Alexandria database).

- Energy relative to the elements, uncorrected: -2.4769 eV per atom
- Size of the total moment: 0.0 μB/cell
- Space-group type: No. 8

```
data_SrPrGaCuO5
_chemical_formula_sum 'Sr2 Pr2 Ga2 Cu2 O10'
_space_group_name_H-M_alt 'P 1'
_space_group_IT_number 1
_cell_length_a 9.032
_cell_length_b 9.032
_cell_length_c 5.257
_cell_angle_alpha 106.89
_cell_angle_beta 106.89
_cell_angle_gamma 130.21
loop_
_space_group_symop_operation_xyz
'x,y,z'
loop_
_atom_site_label
_atom_site_type_symbol
_atom_site_fract_x
_atom_site_fract_y
_atom_site_fract_z
Sr1 Sr 0.140 0.860 0.000
Sr2 Sr 0.860 0.140 0.000
Pr1 Pr 0.316 0.612 0.961
Pr2 Pr 0.612 0.316 0.961
Ga1 Ga 0.557 0.557 0.523
Ga2 Ga 0.925 0.925 0.384
Cu1 Cu 0.231 0.731 0.481
Cu2 Cu 0.731 0.231 0.481
O1 O 0.157 0.958 0.586
O2 O 0.340 0.543 0.482
O3 O 0.486 0.973 0.477
O4 O 0.488 0.979 0.982
O5 O 0.543 0.340 0.482
O6 O 0.602 0.602 0.203
O7 O 0.873 0.873 0.977
O8 O 0.958 0.157 0.586
O9 O 0.973 0.486 0.477
O10 O 0.979 0.488 0.982
```

---

Entry 2:
# KSbBr2

A crystal of KSbBr2 relaxed with PBEsol (meta-GGA SCAN, the Alexandria database).

- Energy relative to the elements, uncorrected: -0.7852 eV per atom
- Size of the total moment: 0.0 μB/cell
- Space-group type: No. 71

```
data_KSbBr2
_chemical_formula_sum 'K1 Sb1 Br2'
_space_group_name_H-M_alt 'P 1'
_space_group_IT_number 1
_cell_length_a 6.108
_cell_length_b 6.108
_cell_length_c 6.108
_cell_angle_alpha 139.29
_cell_angle_beta 120.21
_cell_angle_gamma 74.86
loop_
_space_group_symop_operation_xyz
'x,y,z'
loop_
_atom_site_label
_atom_site_type_symbol
_atom_site_fract_x
_atom_site_fract_y
_atom_site_fract_z
K1 K 0.000 0.000 0.000
Sb1 Sb 0.500 0.500 0.000
Br1 Br 0.300 0.800 0.500
Br2 Br 0.700 0.200 0.500
```

---

Entry 3:
# KYRe2

A crystal of KYRe2 relaxed with PBEsol (meta-GGA SCAN, the Alexandria database).

- Energy relative to the elements: 1.184 eV/atom
- Size of the total moment: 0.0 μB/cell
- Space-group type: No. 71

```
data_KYRe2
_chemical_formula_sum 'K1 Y1 Re2'
_space_group_name_H-M_alt 'P 1'
_space_group_IT_number 1
_cell_length_a 5.846
_cell_length_b 5.846
_cell_length_c 5.846
_cell_angle_alpha 146.00
_cell_angle_beta 137.83
_cell_angle_gamma 55.23
loop_
_space_group_symop_operation_xyz
'x,y,z'
loop_
_atom_site_label
_atom_site_type_symbol
_atom_site_fract_x
_atom_site_fract_y
_atom_site_fract_z
K1 K 0.000 0.000 0.000
Y1 Y 0.500 0.500 0.000
Re1 Re 0.252 0.752 0.500
Re2 Re 0.748 0.248 0.500
```

---

Entry 4:
# RbTi3Sb

A crystal of RbTi3Sb relaxed with PBEsol (meta-GGA SCAN, the Alexandria database).

- Energy relative to the elements, uncorrected: 1.8958 eV per atom
- Size of the total moment: 1.2 μB/cell
- Space-group type: No. 221

```
data_RbTi3Sb
_chemical_formula_sum 'Rb1 Ti3 Sb1'
_space_group_name_H-M_alt 'P 1'
_space_group_IT_number 1
_cell_length_a 4.640
_cell_length_b 4.640
_cell_length_c 4.640
_cell_angle_alpha 90.00
_cell_angle_beta 90.00
_cell_angle_gamma 90.00
loop_
_space_group_symop_operation_xyz
'x,y,z'
loop_
_atom_site_label
_atom_site_type_symbol
_atom_site_fract_x
_atom_site_fract_y
_atom_site_fract_z
Rb1 Rb 0.000 0.000 0.000
Ti1 Ti 0.000 0.000 0.500
Ti2 Ti 0.000 0.500 0.000
Ti3 Ti 0.500 0.000 0.000
Sb1 Sb 0.500 0.500 0.500
```

---

Entry 5:
# NaScCrAg2

A crystal of NaScCrAg2 relaxed with PBEsol (meta-GGA SCAN, the Alexandria database).

- Energy relative to the elements: 0.586 eV/atom
- Size of the total moment: 3.2 μB/cell
- Space-group type: No. 123

```
data_NaScCrAg2
_chemical_formula_sum 'Na1 Sc1 Cr1 Ag2'
_space_group_name_H-M_alt 'P 1'
_space_group_IT_number 1
_cell_length_a 4.987
_cell_length_b 4.987
_cell_length_c 4.607
_cell_angle_alpha 90.00
_cell_angle_beta 90.00
_cell_angle_gamma 90.00
loop_
_space_group_symop_operation_xyz
'x,y,z'
loop_
_atom_site_label
_atom_site_type_symbol
_atom_site_fract_x
_atom_site_fract_y
_atom_site_fract_z
Na1 Na 0.000 0.000 0.000
Sc1 Sc 0.500 0.500 0.000
Cr1 Cr 0.500 0.500 0.500
Ag1 Ag 0.000 0.500 0.500
Ag2 Ag 0.500 0.000 0.500
```

---

Entry 6:
# CaZnHg2

A crystal of CaZnHg2 relaxed with PBEsol (meta-GGA SCAN, the Alexandria database).

- Energy relative to the elements: -0.321 eV/atom
- Size of the total moment: 0.0 μB/cell
- Space-group type: No. 123

```
data_CaZnHg2
_chemical_formula_sum 'Ca1 Zn1 Hg2'
_space_group_name_H-M_alt 'P 1'
_space_group_IT_number 1
_cell_length_a 4.528
_cell_length_b 4.528
_cell_length_c 4.309
_cell_angle_alpha 90.00
_cell_angle_beta 90.00
_cell_angle_gamma 90.00
loop_
_space_group_symop_operation_xyz
'x,y,z'
loop_
_atom_site_label
_atom_site_type_symbol
_atom_site_fract_x
_atom_site_fract_y
_atom_site_fract_z
Ca1 Ca 0.000 0.000 0.000
Zn1 Zn 0.500 0.500 0.000
Hg1 Hg 0.000 0.500 0.500
Hg2 Hg 0.500 0.000 0.500
```

---

Entry 7:
# Ba2PrNbO6

A crystal of Ba2PrNbO6 relaxed with PBEsol (meta-GGA SCAN, the Alexandria database).

- Energy relative to the elements, uncorrected: -3.2235 eV per atom
- Size of the total moment: 0.0 μB/cell
- Space-group type: No. 14

```
data_Ba2PrNbO6
_chemical_formula_sum 'Ba4 Pr2 Nb2 O12'
_space_group_name_H-M_alt 'P 1'
_space_group_IT_number 1
_cell_length_a 6.129
_cell_length_b 6.070
_cell_length_c 10.482
_cell_angle_alpha 90.00
_cell_angle_beta 125.12
_cell_angle_gamma 90.00
loop_
_space_group_symop_operation_xyz
'x,y,z'
loop_
_atom_site_label
_atom_site_type_symbol
_atom_site_fract_x
_atom_site_fract_y
_atom_site_fract_z
Ba1 Ba 0.241 0.011 0.248
Ba2 Ba 0.241 0.489 0.748
Ba3 Ba 0.759 0.511 0.252
Ba4 Ba 0.759 0.989 0.752
Pr1 Pr 0.500 0.000 0.000
Pr2 Pr 0.500 0.500 0.500
Nb1 Nb 0.000 0.000 0.500
Nb2 Nb 0.000 0.500 0.000
O1 O 0.176 0.246 0.461
O2 O 0.176 0.254 0.961
O3 O 0.202 0.720 0.961
O4 O 0.202 0.780 0.461
O5 O 0.300 0.007 0.729
O6 O 0.300 0.493 0.229
O7 O 0.700 0.507 0.771
O8 O 0.700 0.993 0.271
O9 O 0.798 0.220 0.539
O10 O 0.798 0.280 0.039
O11 O 0.824 0.746 0.039
O12 O 0.824 0.754 0.539
```

---

Entry 8:
# Sc2MoPb

A crystal of Sc2MoPb relaxed with PBEsol (meta-GGA SCAN, the Alexandria database).

- Energy relative to the elements: 0.063 eV/atom
- Size of the total moment: 0.6 μB/cell
- Space-group type: No. 99

```
data_Sc2MoPb
_chemical_formula_sum 'Sc2 Mo1 Pb1'
_space_group_name_H-M_alt 'P 1'
_space_group_IT_number 1
_cell_length_a 3.616
_cell_length_b 3.616
_cell_length_c 6.156
_cell_angle_alpha 90.00
_cell_angle_beta 90.00
_cell_angle_gamma 90.00
loop_
_space_group_symop_operation_xyz
'x,y,z'
loop_
_atom_site_label
_atom_site_type_symbol
_atom_site_fract_x
_atom_site_fract_y
_atom_site_fract_z
Sc1 Sc 0.000 0.000 0.000
Sc2 Sc 0.500 0.500 0.271
Mo1 Mo 0.000 0.000 0.484
Pb1 Pb 0.500 0.500 0.738
```

---

Result set for density of states at the Fermi level: 2.2, 0.2, 2.4, 6.1, 2.9, 1.8, 0.0, 4.3 states/eV/cell, one per record in the order listed.